HfMo2W2: relaxed, PBE-GGA.

Unit cell a=4.2589 b=4.2589 c=10.7076 alpha=90.00 beta=90.00 gamma=90.00
Sites, in units of the cell vectors:
Hf 0.0000 0.0000 0.0000
Hf 0.5000 0.5000 0.5000
Mo 0.0000 0.5000 0.2500
Mo 0.0000 0.5000 0.7500
Mo 0.5000 0.0000 0.2500
Mo 0.5000 0.0000 0.7500
W 0.0000 0.0000 0.3822
W 0.0000 0.0000 0.6178
W 0.5000 0.5000 0.1178
W 0.5000 0.5000 0.8822

## Properties
relative energy among the computed polymorphs: 689.7 meV per atom
symmetry: No. 139
total energy: -10.9090 eV per atom
formation energy: 2.98 eV/f.u.
density of states at the Fermi level: 15.24 states/eV/cell

---

HfMoW2: relaxed, PBE-GGA.

Unit cell a=3.0955 b=19.4387 c=4.8221 alpha=90.00 beta=90.00 gamma=90.00
Sites, in units of the cell vectors:
Hf 0.0000 0.1175 0.2500
Hf 0.0000 0.8825 0.7500
Hf 0.5000 0.3825 0.7500
Hf 0.5000 0.6175 0.2500
Mo 0.0000 0.3522 0.2500
Mo 0.0000 0.6478 0.7500
Mo 0.5000 0.1478 0.7500
Mo 0.5000 0.8522 0.2500
W 0.0000 0.2526 0.7500
W 0.0000 0.4822 0.2500
W 0.0000 0.5178 0.7500
W 0.0000 0.7474 0.2500
W 0.5000 0.0178 0.7500
W 0.5000 0.2474 0.2500
W 0.5000 0.7526 0.7500
W 0.5000 0.9822 0.2500

## Properties
relative energy among the computed polymorphs: 403.4 meV per atom
symmetry: No. 63
total energy: -11.2612 eV per atom
formation energy: 1.65 eV/f.u.
density of states at the Fermi level: 14.07 states/eV/cell